No. 1
A relaxed Mg2HgPb5 crystal. Source: Alexandria, functional PBE-GGA. Values from VASP.

Computed properties:
Formation energy from the elements ... -0.03 eV/atom
Crystal system ... orthorhombic
E ... -2.781 eV/atom
Total magnetic moment ... 0.0 Bohr magnetons per cell

Quantum ESPRESSO input file:
```
&SYSTEM
  ibrav = 0, nat = 16, ntyp = 3
/
ATOMIC_SPECIES
Mg 24.30 Mg.upf
Hg 200.59 Hg.upf
Pb 207.20 Pb.upf
CELL_PARAMETERS angstrom
1.7820 -5.9263 0.0000
1.7820 5.9263 0.0000
0.0000 0.0000 21.2582
ATOMIC_POSITIONS crystal
Mg 0.1762 0.8238 0.6533
Mg 0.1762 0.8238 0.8467
Mg 0.8238 0.1762 0.1533
Mg 0.8238 0.1762 0.3467
Hg 0.2267 0.7733 0.2500
Hg 0.7733 0.2267 0.7500
Pb 0.0908 0.9092 0.1129
Pb 0.0908 0.9092 0.3871
Pb 0.3654 0.6346 0.0291
Pb 0.3654 0.6346 0.4709
Pb 0.4972 0.5028 0.2500
Pb 0.5028 0.4972 0.7500
Pb 0.6346 0.3654 0.5291
Pb 0.6346 0.3654 0.9709
Pb 0.9092 0.0908 0.6129
Pb 0.9092 0.0908 0.8871
```

---

No. 2
A relaxed TbYTm2S6 crystal. Source: Alexandria, functional PBE-GGA. Values from VASP.

Computed properties:
Crystal system ... trigonal
E ... -6.543 eV/atom
Energy relative to the elements, uncorrected ... -199.0 kJ per mole of atoms
Total magnetic moment ... 0.0 Bohr magnetons per cell

Quantum ESPRESSO input file:
```
&SYSTEM
  ibrav = 0, nat = 10, ntyp = 4
/
ATOMIC_SPECIES
Tb 158.93 Tb.upf
Y 88.91 Y.upf
Tm 168.93 Tm.upf
S 32.06 S.upf
CELL_PARAMETERS angstrom
3.4355 1.9835 6.1386
-3.4355 1.9835 6.1386
0.0000 -3.9669 6.1386
ATOMIC_POSITIONS crystal
Tb 0.0000 0.0000 0.0000
Y 0.4994 0.4994 0.4994
Tm 0.2990 0.2990 0.2990
Tm 0.7993 0.7993 0.7993
S 0.0914 0.4073 0.6930
S 0.1943 0.9058 0.5915
S 0.4073 0.6930 0.0914
S 0.5915 0.1943 0.9058
S 0.6930 0.0914 0.4073
S 0.9058 0.5915 0.1943
```